Record 1
Computed, not measured: a relaxed CuSbSe2 crystal at the GGA-PBE level of DFT.

Values from the calculation:
ΔE_f (raw)	34	meV/atom
calculated volume	121.8	Å³ per cell
space group	Imm2 (44)
spin magnetization	0.0000	μB per atom
ρ	4.7	g/cm³
E_tot	-3.76	eV/atom

Structure (extended XYZ):
```
4
Lattice="-2.0258 2.0853 7.2099 2.0258 -2.0853 7.2099 2.0258 2.0853 -7.2099" Properties=species:S:1:pos:R:3 pbc="T T T"
Cu 0.0000 0.0000 0.0000
Sb 0.0000 2.0853 1.5218
Se 0.0000 0.0000 10.4265
Se 0.0000 2.0853 6.2392
```


Record 2
Computed, not measured: a relaxed Y2VB2Ru5 crystal at the GGA-PBE level of DFT.

Values from the calculation:
calculated volume	283.6	Å³ per cell
space group	P4/mbm (127)
spin magnetization	0.0000	μB per atom
ρ	8.8	g/cm³
E_tot	-8.61	eV/atom

Structure (extended XYZ):
```
20
Lattice="9.5844 0.0000 0.0000 0.0000 9.5844 0.0000 0.0000 0.0000 3.0874" Properties=species:S:1:pos:R:3 pbc="T T T"
Y 1.6830 3.1092 0.0000
Y 3.1092 7.9014 0.0000
Y 6.4752 1.6830 0.0000
Y 7.9014 6.4752 0.0000
V 0.0000 0.0000 0.0000
V 4.7922 4.7922 0.0000
B 1.1702 5.9624 0.0000
B 3.6220 1.1702 0.0000
B 5.9624 8.4142 0.0000
B 8.4142 3.6220 0.0000
Ru 0.0000 4.7922 1.5437
Ru 0.6614 7.5414 1.5437
Ru 2.0430 0.6614 1.5437
Ru 2.7492 5.4536 1.5437
Ru 4.1308 2.7492 1.5437
Ru 4.7922 0.0000 1.5437
Ru 5.4536 6.8351 1.5437
Ru 6.8351 4.1308 1.5437
Ru 7.5414 8.9230 1.5437
Ru 8.9230 2.0430 1.5437
```


Record 3
Computed, not measured: a relaxed CsPdBr6 crystal at the GGA-PBE level of DFT.

Values from the calculation:
ΔE_f (raw)	-497	meV/atom
calculated volume	282.7	Å³ per cell
space group	R-3m (166)
spin magnetization	0.0853	μB per atom
ρ	4.2	g/cm³
E_tot	-2.51	eV/atom

Structure (extended XYZ):
```
8
Lattice="5.1026 2.9460 3.1339 -5.1026 2.9460 3.1339 0.0000 -5.8920 3.1339" Properties=species:S:1:pos:R:3 pbc="T T T"
Cs 0.0000 0.0000 0.0000
Pd 0.0000 0.0000 4.7009
Br 0.0000 -2.0224 3.2327
Br -1.7514 1.0112 3.2327
Br -1.7514 -1.0112 6.1691
Br 1.7514 1.0112 3.2327
Br 1.7514 -1.0112 6.1691
Br 0.0000 2.0224 6.1691
```


Record 4
Computed, not measured: a relaxed ZrMo2Ir crystal at the GGA-PBE level of DFT.

Values from the calculation:
calculated volume	148.9	Å³ per cell
space group	I-42d (122)
spin magnetization	0.0000	μB per atom
ρ	10.6	g/cm³
E_tot	-9.43	eV/atom

Structure (extended XYZ):
```
8
Lattice="-3.7826 3.7826 2.6023 3.7826 -3.7826 2.6023 3.7826 3.7826 -2.6023" Properties=species:S:1:pos:R:3 pbc="T T T"
Zr 0.0000 0.0000 0.0000
Zr 0.0000 3.7826 1.3011
Mo 1.8913 -1.6274 1.9517
Mo 2.1552 1.8913 0.6506
Mo 1.8913 5.4099 -0.6506
Mo 1.6274 1.8913 3.2528
Ir 3.7826 0.0000 1.3011
Ir 0.0000 0.0000 2.6023
```


Record 5
Computed, not measured: a relaxed AlTl2Sb2 crystal at the GGA-PBE level of DFT.

Values from the calculation:
ΔE_f (raw)	97	meV/atom
calculated volume	309.8	Å³ per cell
space group	P4/mbm (127)
spin magnetization	0.0000	μB per atom
ρ	7.3	g/cm³
E_tot	-3.25	eV/atom

Structure (extended XYZ):
```
10
Lattice="7.2486 0.0000 0.0000 0.0000 7.2486 0.0000 0.0000 0.0000 5.8970" Properties=species:S:1:pos:R:3 pbc="T T T"
Al 0.0000 0.0000 0.0000
Al 3.6243 3.6243 0.0000
Tl 1.3042 2.3201 2.9485
Tl 2.3201 5.9444 2.9485
Tl 4.9285 1.3042 2.9485
Tl 5.9444 4.9285 2.9485
Sb 1.0396 4.6639 0.0000
Sb 2.5847 1.0396 0.0000
Sb 4.6639 6.2090 0.0000
Sb 6.2090 2.5847 0.0000
```


Record 6
Computed, not measured: a relaxed Dy6Cd3Co crystal at the GGA-PBE level of DFT.

Values from the calculation:
calculated volume	525.4	Å³ per cell
space group	Pnnm (58)
spin magnetization	0.0000	μB per atom
ρ	8.7	g/cm³
E_tot	-3.91	eV/atom

Structure (extended XYZ):
```
20
Lattice="9.0880 0.0000 0.0000 0.0000 11.1712 0.0000 0.0000 0.0000 5.1756" Properties=species:S:1:pos:R:3 pbc="T T T"
Dy 0.1578 2.5727 0.0000
Dy 1.4007 0.8480 2.5878
Dy 1.7748 4.6275 2.5878
Dy 2.7692 10.2131 0.0000
Dy 3.1433 6.4336 0.0000
Dy 4.3862 8.1583 2.5878
Dy 4.7018 3.0129 2.5878
Dy 5.9447 4.7377 0.0000
Dy 6.3188 0.9581 0.0000
Dy 7.3132 6.5437 2.5878
Dy 7.6873 10.3233 2.5878
Dy 8.9302 8.5985 0.0000
Cd 0.0000 5.5856 0.0000
Cd 1.3577 8.0664 2.5878
Cd 3.1863 2.4808 0.0000
Cd 4.5440 0.0000 2.5878
Cd 5.9017 8.6905 0.0000
Cd 7.7303 3.1048 2.5878
Co 0.0000 0.0000 0.0000
Co 4.5440 5.5856 2.5878
```


Record 7
Computed, not measured: a relaxed KSrSe3 crystal at the GGA-PBE level of DFT.

Values from the calculation:
ΔE_f (raw)	-140	meV/atom
calculated volume	177.0	Å³ per cell
space group	Pm-3m (221)
spin magnetization	0.3614	μB per atom
ρ	3.4	g/cm³
E_tot	-2.79	eV/atom

Structure (extended XYZ):
```
5
Lattice="5.6150 0.0000 0.0000 0.0000 5.6150 0.0000 0.0000 0.0000 5.6150" Properties=species:S:1:pos:R:3 pbc="T T T"
K 0.0000 0.0000 0.0000
Sr 2.8075 2.8075 2.8075
Se 0.0000 0.0000 2.8075
Se 0.0000 2.8075 0.0000
Se 2.8075 0.0000 0.0000
```


Record 8
Computed, not measured: a relaxed KU2Au2S6 crystal at the GGA-PBE level of DFT.

Values from the calculation:
ΔE_f (raw)	-943	meV/atom
calculated volume	302.5	Å³ per cell
space group	P-1 (2)
spin magnetization	0.2727	μB per atom
ρ	6.0	g/cm³
E_tot	-5.94	eV/atom

Structure (extended XYZ):
```
11
Lattice="7.1892 0.0000 0.0000 3.5701 6.4629 0.0000 3.5689 -1.9164 6.5114" Properties=species:S:1:pos:R:3 pbc="T T T"
K 0.0000 0.0000 0.0000
U 3.5308 2.1829 0.0337
U 10.7975 2.3636 6.4777
Au 4.8278 3.4603 3.1211
Au 9.5005 1.0862 3.3903
S 4.9233 0.5494 5.1145
S 2.8249 -0.0315 1.4231
S 8.4517 2.1891 5.1401
S 5.8766 2.3573 1.3713
S 11.5034 4.5779 5.0883
S 9.4050 3.9971 1.3968
```


Record 9
Computed, not measured: a relaxed Pm4Cu3Ni crystal at the GGA-PBE level of DFT.

Values from the calculation:
calculated volume	183.0	Å³ per cell
space group	Pmm2 (25)
spin magnetization	0.0000	μB per atom
ρ	7.5	g/cm³
E_tot	-4.87	eV/atom

Structure (extended XYZ):
```
8
Lattice="3.8667 0.0000 0.0000 0.0000 4.4759 0.0000 0.0000 0.0000 10.5728" Properties=species:S:1:pos:R:3 pbc="T T T"
Pm 0.0000 0.0000 0.0000
Pm 0.0000 2.2380 2.8751
Pm 1.9333 0.0000 5.1420
Pm 1.9333 2.2380 8.1957
Cu 0.0000 0.0000 7.3913
Cu 0.0000 2.2380 5.9682
Cu 1.9333 2.2380 0.7004
Ni 1.9333 0.0000 2.1435
```


Record 10
Computed, not measured: a relaxed AgB3Pt crystal at the GGA-PBE level of DFT.

Values from the calculation:
calculated volume	69.6	Å³ per cell
space group	Pm-3m (221)
spin magnetization	0.0000	μB per atom
ρ	8.0	g/cm³
E_tot	-3.71	eV/atom

Structure (extended XYZ):
```
5
Lattice="4.1139 0.0000 0.0000 0.0000 4.1139 0.0000 0.0000 0.0000 4.1139" Properties=species:S:1:pos:R:3 pbc="T T T"
Ag 0.0000 0.0000 0.0000
B 0.0000 0.0000 2.0569
B 0.0000 2.0569 0.0000
B 2.0569 0.0000 0.0000
Pt 2.0569 2.0569 2.0569
```


Record 11
Computed, not measured: a relaxed Al2FeMo crystal at the GGA-PBE level of DFT.

Values from the calculation:
calculated volume	56.6	Å³ per cell
space group	Immm (71)
spin magnetization	0.5032	μB per atom
ρ	6.0	g/cm³
E_tot	-6.80	eV/atom

Structure (extended XYZ):
```
4
Lattice="-1.5164 2.2097 4.2235 1.5164 -2.2097 4.2235 1.5164 2.2097 -4.2235" Properties=species:S:1:pos:R:3 pbc="T T T"
Al 0.0000 0.0000 1.9730
Al 0.0000 0.0000 6.4740
Fe 1.5164 0.0000 0.0000
Mo 0.0000 2.2097 0.0000
```


Record 12
Computed, not measured: a relaxed ScC5 crystal at the GGA-PBE level of DFT.

Values from the calculation:
calculated volume	55.1	Å³ per cell
space group	F-43m (216)
spin magnetization	0.0933	μB per atom
ρ	3.2	g/cm³
E_tot	-6.56	eV/atom

Structure (extended XYZ):
```
6
Lattice="0.0000 3.0196 3.0196 3.0196 0.0000 3.0196 3.0196 3.0196 0.0000" Properties=species:S:1:pos:R:3 pbc="T T T"
Sc 0.0000 0.0000 0.0000
C 2.4689 2.4689 2.4689
C 3.5703 3.5703 2.4689
C 3.5703 2.4689 3.5703
C 4.5294 4.5294 4.5294
C 2.4689 3.5703 3.5703
```


Record 13
Computed, not measured: a relaxed Cu2Pd8W crystal at the GGA-PBE level of DFT.

Values from the calculation:
calculated volume	169.9	Å³ per cell
space group	Cmmm (65)
spin magnetization	0.0000	μB per atom
ρ	11.4	g/cm³
E_tot	-5.68	eV/atom

Structure (extended XYZ):
```
11
Lattice="3.9738 -5.2131 0.0000 3.9738 5.2131 0.0000 0.0000 0.0000 4.1015" Properties=species:S:1:pos:R:3 pbc="T T T"
Cu 3.9738 4.0124 0.0000
Cu 3.9738 -4.0124 0.0000
Pd 1.3450 0.0000 2.0508
Pd 2.6113 1.3686 0.0000
Pd 3.9738 2.6185 2.0508
Pd 2.6113 -1.3686 0.0000
Pd 5.3362 1.3686 0.0000
Pd 3.9738 -2.6185 2.0508
Pd 5.3362 -1.3686 0.0000
Pd 6.6026 0.0000 2.0508
W 3.9738 0.0000 2.0508
```


Record 14
Computed, not measured: a relaxed Er3ScNi8 crystal at the GGA-PBE level of DFT.

Values from the calculation:
calculated volume	177.0	Å³ per cell
space group	R3m (160)
spin magnetization	0.0000	μB per atom
ρ	9.5	g/cm³
E_tot	-6.01	eV/atom

Structure (extended XYZ):
```
12
Lattice="2.4984 1.4425 8.1853 -2.4984 1.4425 8.1853 0.0000 -2.8849 8.1853" Properties=species:S:1:pos:R:3 pbc="T T T"
Er 0.0000 0.0000 0.0000
Er 0.0000 0.0000 3.0933
Er 0.0000 0.0000 12.3844
Sc 0.0000 0.0000 15.4236
Ni -1.2529 -0.7234 9.7431
Ni 0.0000 -1.4424 5.6989
Ni -1.2492 0.7212 5.6989
Ni 0.0000 0.0000 7.7168
Ni 1.2529 -0.7234 9.7431
Ni 0.0000 1.4467 9.7431
Ni 1.2492 0.7212 5.6989
Ni 0.0000 0.0000 20.0001
```


Record 15
Computed, not measured: a relaxed HgMo2Ru crystal at the GGA-PBE level of DFT.

Values from the calculation:
calculated volume	67.0	Å³ per cell
space group	Imm2 (44)
spin magnetization	0.0000	μB per atom
ρ	12.2	g/cm³
E_tot	-7.31	eV/atom

Structure (extended XYZ):
```
4
Lattice="-1.5479 2.3555 4.5950 1.5479 -2.3555 4.5950 1.5479 2.3555 -4.5950" Properties=species:S:1:pos:R:3 pbc="T T T"
Hg 0.0000 0.0000 0.0000
Mo 1.5479 0.0000 2.5452
Mo 0.0000 0.0000 4.6033
Ru 0.0000 2.3555 2.1220
```